No. 1
Compound: CaGeAs2O8
Source: the Alexandria database
Functional: PBE
Structure: optimized geometry

Properties
energy relative to the elements, uncorrected	-1.459	eV per atom
crystal system	trigonal
DOS at the Fermi energy	0.0000	states/eV/atom
E	-6.091	eV/atom
calculated volume	155	Å³/f.u.
magnetic moment	0.0	μB per formula unit
space-group type	R32, No. 155

Cell lengths 8.256, 8.256, 8.256 Å; angles 33.76, 33.76, 33.76 degrees
Fractional coordinates of all 12 atoms:
Ca (0.000, 0.000, 0.000)
Ge (0.500, 0.500, 0.500)
As (0.242, 0.242, 0.242)
As (0.758, 0.758, 0.758)
O (0.136, 0.447, 0.754)
O (0.246, 0.553, 0.864)
O (0.315, 0.315, 0.315)
O (0.447, 0.754, 0.136)
O (0.553, 0.864, 0.246)
O (0.685, 0.685, 0.685)
O (0.754, 0.136, 0.447)
O (0.864, 0.246, 0.553)

=====

No. 2
Compound: CaGeAsPb2
Source: the Alexandria database
Functional: PBE
Structure: optimized geometry

Properties
crystal system	tetragonal
DOS at the Fermi energy	1.3478	states/eV/atom
E	-2.782	eV/atom
calculated volume	182	Å³/f.u.
magnetic moment	0.6	μB per formula unit
space-group type	P4/mmm, No. 123

Cell lengths 5.822, 5.822, 5.355 Å; angles 90.00, 90.00, 90.00 degrees
Fractional coordinates of all 5 atoms:
Ca (0.000, 0.000, 0.000)
Ge (0.000, 0.000, 0.500)
As (0.500, 0.500, 0.500)
Pb (0.000, 0.500, 0.000)
Pb (0.500, 0.000, 0.000)

=====

No. 3
Compound: Ca3Ge2AsPd9
Source: the Alexandria database
Functional: PBE
Structure: optimized geometry

Properties
crystal system	trigonal
DOS at the Fermi energy	0.4458	states/eV/atom
E	-4.950	eV/atom
calculated volume	318	Å³/f.u.
magnetic moment	0.0	μB per formula unit
space-group type	P-3m1, No. 164

Cell lengths 6.600, 6.600, 8.440 Å; angles 90.00, 90.00, 120.00 degrees
Fractional coordinates of all 15 atoms:
Ca (0.000, 0.000, 0.000)
Ca (0.333, 0.667, 0.694)
Ca (0.667, 0.333, 0.306)
Ge (0.333, 0.667, 0.182)
Ge (0.667, 0.333, 0.818)
As (0.000, 0.000, 0.500)
Pd (0.000, 0.500, 0.000)
Pd (0.142, 0.284, 0.285)
Pd (0.142, 0.858, 0.285)
Pd (0.284, 0.142, 0.715)
Pd (0.500, 0.000, 0.000)
Pd (0.500, 0.500, 0.000)
Pd (0.716, 0.858, 0.285)
Pd (0.858, 0.142, 0.715)
Pd (0.858, 0.716, 0.715)

=====

No. 4
Compound: Ca2GeAsPd6
Source: the Alexandria database
Functional: PBE
Structure: optimized geometry

Properties
crystal system	orthorhombic
DOS at the Fermi energy	0.4526	states/eV/atom
E	-5.077	eV/atom
calculated volume	202	Å³/f.u.
magnetic moment	0.0	μB per formula unit
space-group type	Pmmn, No. 59

Cell lengths 5.603, 8.781, 8.196 Å; angles 90.00, 90.00, 90.00 degrees
Fractional coordinates of all 20 atoms:
Ca (0.250, 0.003, 0.230)
Ca (0.250, 0.497, 0.230)
Ca (0.750, 0.503, 0.770)
Ca (0.750, 0.997, 0.770)
Ge (0.250, 0.750, 0.759)
Ge (0.750, 0.250, 0.241)
As (0.250, 0.250, 0.754)
As (0.750, 0.750, 0.246)
Pd (0.002, 0.750, 0.004)
Pd (0.002, 0.750, 0.503)
Pd (0.250, 0.000, 0.612)
Pd (0.250, 0.500, 0.612)
Pd (0.498, 0.750, 0.004)
Pd (0.498, 0.750, 0.503)
Pd (0.502, 0.250, 0.497)
Pd (0.502, 0.250, 0.996)
Pd (0.750, 0.000, 0.388)
Pd (0.750, 0.500, 0.388)
Pd (0.998, 0.250, 0.497)
Pd (0.998, 0.250, 0.996)